[1]
Material: PrCu3Si3
Method: DFT, PBE
State: relaxed

Computed properties:
* density of states at the Fermi level: 6.13 states/eV/cell
* symmetry: R-3 (148)
* calculated total energy: -4.895 eV/atom

The structure in extended XYZ format:
```
14
Lattice="3.031 1.750 7.515 -3.031 1.750 7.515 0.000 -3.500 7.515" Properties=species:S:1:pos:R:3 pbc="T T T"
Pr 0.000 0.000 4.002
Pr 0.000 0.000 18.543
Cu -1.514 0.269 6.802
Cu 0.524 -1.446 6.802
Cu -0.990 -1.177 15.742
Cu 0.990 1.177 6.802
Cu -0.524 1.446 15.742
Cu 1.514 -0.269 15.742
Si -1.416 0.218 9.345
Si -0.896 -1.117 13.200
Si 0.519 -1.335 9.345
Si -0.519 1.335 13.200
Si 0.896 1.117 9.345
Si 1.416 -0.218 13.200
```


[2]
Material: ReTe2Mo
Method: DFT, PBE
State: relaxed

Computed properties:
* density of states at the Fermi level: 7.63 states/eV/cell
* symmetry: Imm2 (44)
* offset from the most stable computed form: 0.538 eV/atom

The structure in extended XYZ format:
```
8
Lattice="3.287 0.000 0.000 0.000 4.584 0.000 0.000 0.000 10.202" Properties=species:S:1:pos:R:3 pbc="T T T"
Re 0.000 0.000 0.000
Re 1.643 2.292 5.101
Te 0.000 0.000 5.042
Te 0.000 2.292 7.313
Te 1.643 0.000 2.212
Te 1.643 2.292 10.143
Mo 0.000 2.292 2.438
Mo 1.643 0.000 7.539
```


[3]
Material: Na2YMgGe
Method: DFT, PBE
State: relaxed

Computed properties:
* ΔE_f: 0.14 eV per atom
* density of states at the Fermi level: 3.67 states/eV/cell
* symmetry: P4/mmm (123)

The structure in extended XYZ format:
```
5
Lattice="5.478 0.000 0.000 0.000 5.478 0.000 0.000 0.000 5.587" Properties=species:S:1:pos:R:3 pbc="T T T"
Na 0.000 2.739 0.000
Na 2.739 0.000 0.000
Y 0.000 0.000 2.794
Mg 2.739 2.739 2.794
Ge 0.000 0.000 0.000
```